Record 1
SmTcW: relaxed, PBE-GGA.

Computed properties:
The formation energy comes out at 1.94 eV per atom. For the total energy, the calculation gives -7.41 eV/atom. The excess energy over the best structure of this formula in the dataset comes out at 1.110 eV per atom.

Structure (CIF):
```
data_SmTcW
_chemical_formula_sum 'Sm1 Tc1 W1'
_space_group_name_H-M_alt 'P 1'
_space_group_IT_number 1
_cell_length_a 4.5159
_cell_length_b 4.5159
_cell_length_c 4.5159
_cell_angle_alpha 60.00
_cell_angle_beta 60.00
_cell_angle_gamma 60.00
loop_
_space_group_symop_operation_xyz
'x,y,z'
loop_
_atom_site_label
_atom_site_type_symbol
_atom_site_fract_x
_atom_site_fract_y
_atom_site_fract_z
_atom_site_occupancy
Sm1 Sm 0.0000 0.0000 0.0000 1
Tc1 Tc 0.7500 0.7500 0.7500 1
W1 W 0.2500 0.2500 0.2500 1
```

Record 2
SmYTc: relaxed, PBE-GGA.

Computed properties:
The formation energy comes out at 0.97 eV per atom. For the total energy, the calculation gives -6.21 eV/atom. The excess energy over the best structure of this formula in the dataset comes out at 0.000 eV per atom.

Structure (CIF):
```
data_SmYTc
_chemical_formula_sum 'Sm1 Y1 Tc1'
_space_group_name_H-M_alt 'P 1'
_space_group_IT_number 1
_cell_length_a 4.8055
_cell_length_b 4.8055
_cell_length_c 4.8055
_cell_angle_alpha 60.00
_cell_angle_beta 60.00
_cell_angle_gamma 60.00
loop_
_space_group_symop_operation_xyz
'x,y,z'
loop_
_atom_site_label
_atom_site_type_symbol
_atom_site_fract_x
_atom_site_fract_y
_atom_site_fract_z
_atom_site_occupancy
Sm1 Sm 0.0000 0.0000 0.0000 1
Y1 Y 0.2500 0.2500 0.2500 1
Tc1 Tc 0.5000 0.5000 0.5000 1
```

Record 3
SmZnTc: relaxed, PBE-GGA.

Computed properties:
The formation energy comes out at 0.44 eV per atom. For the total energy, the calculation gives -5.00 eV/atom. The excess energy over the best structure of this formula in the dataset comes out at 0.000 eV per atom.

Structure (CIF):
```
data_SmZnTc
_chemical_formula_sum 'Sm1 Zn1 Tc1'
_space_group_name_H-M_alt 'P 1'
_space_group_IT_number 1
_cell_length_a 4.5166
_cell_length_b 4.5166
_cell_length_c 4.5166
_cell_angle_alpha 60.00
_cell_angle_beta 60.00
_cell_angle_gamma 60.00
loop_
_space_group_symop_operation_xyz
'x,y,z'
loop_
_atom_site_label
_atom_site_type_symbol
_atom_site_fract_x
_atom_site_fract_y
_atom_site_fract_z
_atom_site_occupancy
Sm1 Sm 0.0000 0.0000 0.0000 1
Zn1 Zn 0.2500 0.2500 0.2500 1
Tc1 Tc 0.5000 0.5000 0.5000 1
```

Record 4
SmZnTc: relaxed, PBE-GGA.

Computed properties:
The formation energy comes out at 1.06 eV per atom. For the total energy, the calculation gives -4.38 eV/atom. The excess energy over the best structure of this formula in the dataset comes out at 0.619 eV per atom.

Structure (CIF):
```
data_SmZnTc
_chemical_formula_sum 'Sm1 Zn1 Tc1'
_space_group_name_H-M_alt 'P 1'
_space_group_IT_number 1
_cell_length_a 4.6994
_cell_length_b 4.6994
_cell_length_c 4.6994
_cell_angle_alpha 60.00
_cell_angle_beta 60.00
_cell_angle_gamma 60.00
loop_
_space_group_symop_operation_xyz
'x,y,z'
loop_
_atom_site_label
_atom_site_type_symbol
_atom_site_fract_x
_atom_site_fract_y
_atom_site_fract_z
_atom_site_occupancy
Sm1 Sm 0.0000 0.0000 0.0000 1
Zn1 Zn 0.2500 0.2500 0.2500 1
Tc1 Tc 0.7500 0.7500 0.7500 1
```

Record 5
SmTe2: relaxed, PBE-GGA.

Computed properties:
For the total energy, the calculation gives -3.74 eV/atom.

Structure (CIF):
```
data_SmTe2
_chemical_formula_sum 'Sm2 Te4'
_space_group_name_H-M_alt 'P 1'
_space_group_IT_number 1
_cell_length_a 6.3859
_cell_length_b 6.3859
_cell_length_c 6.3859
_cell_angle_alpha 60.00
_cell_angle_beta 60.00
_cell_angle_gamma 60.00
loop_
_space_group_symop_operation_xyz
'x,y,z'
loop_
_atom_site_label
_atom_site_type_symbol
_atom_site_fract_x
_atom_site_fract_y
_atom_site_fract_z
_atom_site_occupancy
Sm1 Sm 0.1250 0.1250 0.1250 1
Sm2 Sm 0.8750 0.8750 0.8750 1
Te1 Te 0.0000 0.5000 0.5000 1
Te2 Te 0.5000 0.0000 0.5000 1
Te3 Te 0.5000 0.5000 0.0000 1
Te4 Te 0.5000 0.5000 0.5000 1
```

Record 6
SmTe3: relaxed, PBE-GGA.

Computed properties:
For the total energy, the calculation gives -4.51 eV/atom.

Structure (CIF):
```
data_SmTe3
_chemical_formula_sum 'Sm2 Te6'
_space_group_name_H-M_alt 'P 1'
_space_group_IT_number 1
_cell_length_a 13.4502
_cell_length_b 13.4502
_cell_length_c 4.3623
_cell_angle_alpha 90.00
_cell_angle_beta 90.00
_cell_angle_gamma 161.34
loop_
_space_group_symop_operation_xyz
'x,y,z'
loop_
_atom_site_label
_atom_site_type_symbol
_atom_site_fract_x
_atom_site_fract_y
_atom_site_fract_z
_atom_site_occupancy
Sm1 Sm 0.1700 0.8300 0.7500 1
Sm2 Sm 0.8300 0.1700 0.2500 1
Te1 Te 0.0741 0.9259 0.2500 1
Te2 Te 0.2938 0.7062 0.7500 1
Te3 Te 0.4259 0.5741 0.2500 1
Te4 Te 0.5741 0.4259 0.7500 1
Te5 Te 0.7062 0.2938 0.2500 1
Te6 Te 0.9259 0.0741 0.7500 1
```

Record 7
Sm2Te: relaxed, PBE-GGA.

Computed properties:
For the total energy, the calculation gives -4.41 eV/atom.

Structure (CIF):
```
data_Sm2Te
_chemical_formula_sum 'Sm4 Te2'
_space_group_name_H-M_alt 'P 1'
_space_group_IT_number 1
_cell_length_a 6.3774
_cell_length_b 6.3774
_cell_length_c 6.3774
_cell_angle_alpha 60.00
_cell_angle_beta 60.00
_cell_angle_gamma 60.00
loop_
_space_group_symop_operation_xyz
'x,y,z'
loop_
_atom_site_label
_atom_site_type_symbol
_atom_site_fract_x
_atom_site_fract_y
_atom_site_fract_z
_atom_site_occupancy
Sm1 Sm 0.0000 0.0000 0.0000 1
Sm2 Sm 0.0000 0.0000 0.5000 1
Sm3 Sm 0.0000 0.5000 0.0000 1
Sm4 Sm 0.5000 0.0000 0.0000 1
Te1 Te 0.3750 0.3750 0.3750 1
Te2 Te 0.6250 0.6250 0.6250 1
```

Record 8
Sm8Te: relaxed, PBE-GGA.

Computed properties:
For the total energy, the calculation gives -4.81 eV/atom.

Structure (CIF):
```
data_Sm8Te
_chemical_formula_sum 'Sm8 Te1'
_space_group_name_H-M_alt 'P 1'
_space_group_IT_number 1
_cell_length_a 9.4155
_cell_length_b 9.4155
_cell_length_c 3.8459
_cell_angle_alpha 90.00
_cell_angle_beta 90.00
_cell_angle_gamma 120.00
loop_
_space_group_symop_operation_xyz
'x,y,z'
loop_
_atom_site_label
_atom_site_type_symbol
_atom_site_fract_x
_atom_site_fract_y
_atom_site_fract_z
_atom_site_occupancy
Sm1 Sm 0.0000 0.2702 0.0000 1
Sm2 Sm 0.0000 0.6215 0.5000 1
Sm3 Sm 0.2702 0.0000 0.0000 1
Sm4 Sm 0.3333 0.6667 0.0000 1
Sm5 Sm 0.3785 0.3785 0.5000 1
Sm6 Sm 0.6215 0.0000 0.5000 1
Sm7 Sm 0.6667 0.3333 0.0000 1
Sm8 Sm 0.7298 0.7298 0.0000 1
Te1 Te 0.0000 0.0000 0.5000 1
```